A plane-wave DFT calculation with GGA-PBE was carried out for a geometry-optimized SrLa3Al structure.

Its crystal system is cubic. Its raw total energy is -3.870 eV per atom. As for the density: 4.12 g cm⁻³.

The space group is Pm-3m (No. 221) and the conventional cell measures 5.985, 5.985 and 5.985 Å, with angles of 90.00, 90.00 and 90.00 degrees. Symmetry generates all atoms from Sr at (0.000, 0.000, 0.000), La at (0.000, 0.500, 0.500) and Al at (0.500, 0.500, 0.500).